The following is a DFT calculation (PBE) of a relaxed Pm5PrHo4 crystal.

Computed properties:
Space group: C2/m (12)
Polymorph energy (0 for the lowest one), meV per atom: 120
Magnetic moment, μB per atom: 0.00
Energy of formation, eV per atom: 0.158
DOS at the Fermi energy, states/eV per cell: 15.908

Unit cell a=3.5898 b=10.5538 c=9.2712 alpha=83.85 beta=101.16 gamma=90.00
Fractional positions:
Ho: 0.0461 0.2406 0.0923
Pr: 0.5000 0.0000 0.0000
Pm: 0.8108 0.5955 0.6216
Pm: 0.1892 0.4045 0.3784
Ho: 0.9539 0.7594 0.9077
Pm: 0.5000 0.5000 0.0000
Ho: 0.6836 0.0902 0.3672
Pm: 0.1425 0.7668 0.2849
Pm: 0.8575 0.2332 0.7151
Ho: 0.3164 0.9098 0.6328


The following is a DFT calculation (PBE) of a relaxed PmPrHo2 crystal.

Computed properties:
Space group: R3m (160)
Polymorph energy (0 for the lowest one), meV per atom: 4
Magnetic moment, μB per atom: 0.00
Energy of formation, eV per atom: 0.018
DOS at the Fermi energy, states/eV per cell: 5.822

Unit cell a=3.6228 b=3.6228 c=11.8472 alpha=81.21 beta=81.21 gamma=60.00
Fractional positions:
Pr: 0.6665 0.6665 0.0005
Ho: 0.2496 0.2496 0.2513
Pm: 0.5004 0.5004 0.4987
Ho: 0.0835 0.0835 0.7495


The following is a DFT calculation (PBE) of a relaxed Pm4PrHo6 crystal.

Computed properties:
Space group: P-6m2 (187)
Polymorph energy (0 for the lowest one), meV per atom: 0
Magnetic moment, μB per atom: 0.00
Energy of formation, eV per atom: 0.153
DOS at the Fermi energy, states/eV per cell: 16.009

Unit cell a=3.5366 b=11.0109 c=11.0109 alpha=120.00 beta=90.00 gamma=90.00
Fractional positions:
Ho: 0.0000 0.4962 0.9923
Ho: 0.5000 0.1710 0.3419
Ho: 0.0000 0.4962 0.5038
Pr: 0.0000 0.0000 0.0000
Ho: 0.0000 0.0077 0.5038
Pm: 0.5000 0.8018 0.1982
Ho: 0.5000 0.6581 0.8290
Ho: 0.5000 0.1710 0.8290
Pm: 0.5000 0.3964 0.1982
Pm: 0.0000 0.3333 0.6667
Pm: 0.5000 0.8018 0.6036


The following is a DFT calculation (PBE) of a relaxed Pm2Pr6Ho3 crystal.

Computed properties:
Space group: P-1 (2)
Polymorph energy (0 for the lowest one), meV per atom: 0
Magnetic moment, μB per atom: 0.00
Energy of formation, eV per atom: 0.016
DOS at the Fermi energy, states/eV per cell: 15.070

Unit cell a=6.3235 b=8.1792 c=15.0475 alpha=49.30 beta=60.63 gamma=97.29
Fractional positions:
Pr: 0.8169 0.7223 0.5461
Ho: 0.0000 0.0000 0.0000
Ho: 0.4522 0.1812 0.6379
Pr: 0.0921 0.6371 0.7277
Pr: 0.9079 0.3629 0.2723
Pm: 0.6403 0.4582 0.0894
Pr: 0.1831 0.2777 0.4539
Pm: 0.3597 0.5418 0.9106
Ho: 0.5478 0.8188 0.3621
Pr: 0.2702 0.9079 0.1827
Pr: 0.7298 0.0921 0.8173


The following is a DFT calculation (PBE) of a relaxed Pm3Pr2Ho8 crystal.

Computed properties:
Space group: P2/m (10)
Polymorph energy (0 for the lowest one), meV per atom: 18
Magnetic moment, μB per atom: 0.00
Energy of formation, eV per atom: 0.249
DOS at the Fermi energy, states/eV per cell: 23.138

Unit cell a=5.5888 b=7.6911 c=11.0385 alpha=110.47 beta=90.00 gamma=90.00
Fractional positions:
Ho: 0.0001 0.6640 0.3260
Ho: 0.5000 0.6037 0.7853
Ho: 0.5000 0.8186 0.2145
Pm: 0.5000 0.0000 0.0000
Ho: 0.5000 0.1814 0.7855
Pr: 0.5001 0.7601 0.5182
Ho: 0.0000 0.8705 0.7410
Pm: 0.0000 0.2927 0.0002
Ho: 0.9999 0.3360 0.6740
Pr: 0.4999 0.2399 0.4818
Ho: 0.5000 0.3963 0.2147
Pm: 0.0000 0.7073 0.9998
Ho: 0.0000 0.1295 0.2590


The following is a DFT calculation (PBE) of a relaxed Pm3Pr6Ho2 crystal.

Computed properties:
Space group: R-3m (166)
Polymorph energy (0 for the lowest one), meV per atom: 0
Magnetic moment, μB per atom: 0.00
Energy of formation, eV per atom: 0.014
DOS at the Fermi energy, states/eV per cell: 14.259

Unit cell a=3.6633 b=3.6633 c=32.9161 alpha=86.81 beta=86.81 gamma=60.00
Fractional positions:
Ho: 0.4546 0.4546 0.6361
Pr: 0.8176 0.8176 0.5471
Ho: 0.5454 0.5454 0.3639
Pm: 0.0000 0.0000 0.0000
Pr: 0.1824 0.1824 0.4529
Pr: 0.9083 0.9083 0.2750
Pr: 0.3639 0.3639 0.9083
Pm: 0.2723 0.2723 0.1831
Pr: 0.0917 0.0917 0.7250
Pr: 0.6361 0.6361 0.0917
Pm: 0.7277 0.7277 0.8169


The following is a DFT calculation (PBE) of a relaxed Pm4PrHo5 crystal.

Computed properties:
Space group: I4 (79)
Polymorph energy (0 for the lowest one), meV per atom: 267
Magnetic moment, μB per atom: 0.00
Energy of formation, eV per atom: 0.284
DOS at the Fermi energy, states/eV per cell: 14.226

Unit cell a=6.2760 b=7.9521 c=7.9521 alpha=81.04 beta=66.76 gamma=66.76
Fractional positions:
Ho: 0.1763 0.9232 0.6203
Ho: 0.7199 0.0768 0.3797
Ho: 0.0996 0.6203 0.0768
Ho: 0.6812 0.0000 0.0000
Pr: 0.2204 0.0000 0.0000
Pm: 0.8024 0.6973 0.6061
Pm: 0.1058 0.3027 0.3939
Ho: 0.7967 0.3797 0.9232
Pm: 0.4085 0.3939 0.6973
Pm: 0.4997 0.6061 0.3027


The following is a DFT calculation (PBE) of a relaxed Pm8Pr3Ho4 crystal.

Computed properties:
Space group: C2/m (12)
Magnetic moment, μB per atom: 0.00
Energy of formation, eV per atom: 0.334
DOS at the Fermi energy, states/eV per cell: 23.469

Unit cell a=6.9122 b=9.3227 c=9.3227 alpha=82.19 beta=111.65 gamma=111.65
Fractional positions:
Pr: 0.5000 0.0000 0.5000
Pm: 0.2420 0.2467 0.2467
Pm: 0.0000 0.7047 0.2953
Pm: 0.7580 0.7533 0.7533
Ho: 0.0000 0.5000 0.0000
Pm: 0.0000 0.2953 0.7047
Pm: 0.5000 0.7532 0.2468
Ho: 0.5000 0.0000 0.0000
Ho: 0.0000 0.0000 0.5000
Pm: 0.7935 0.2945 0.2945
Pr: 0.5000 0.5000 0.5000
Pm: 0.5000 0.2468 0.7532
Ho: 0.0000 0.0000 0.0000
Pm: 0.2065 0.7055 0.7055
Pr: 0.5000 0.5000 0.0000


The following is a DFT calculation (PBE) of a relaxed Pm5Pr2Ho crystal.

Computed properties:
Space group: C2/c (15)
Polymorph energy (0 for the lowest one), meV per atom: 132
Magnetic moment, μB per atom: 0.00
Energy of formation, eV per atom: 0.146
DOS at the Fermi energy, states/eV per cell: 25.503

Unit cell a=10.1903 b=6.6988 c=10.8546 alpha=117.83 beta=117.99 gamma=90.00
Fractional positions:
Pm: 0.8793 0.6215 0.5910
Pm: 0.2883 0.8785 0.4090
Pm: 0.1207 0.3785 0.4090
Pm: 0.9358 0.7500 0.0000
Pr: 0.3413 0.0286 0.1676
Pm: 0.0642 0.2500 0.0000
Pr: 0.6587 0.9714 0.8324
Pm: 0.4926 0.4612 0.8048
Pm: 0.5074 0.5388 0.1952
Ho: 0.0000 0.0000 0.5000
Pm: 0.6878 0.0388 0.1952
Ho: 0.5000 0.5000 0.5000
Pr: 0.1737 0.4714 0.8324
Pm: 0.7117 0.1215 0.5910
Pm: 0.3122 0.9612 0.8048
Pr: 0.8263 0.5286 0.1676


The following is a DFT calculation (PBE) of a relaxed PmPr2Ho4 crystal.

Computed properties:
Space group: I4/mmm (139)
Polymorph energy (0 for the lowest one), meV per atom: 0
Magnetic moment, μB per atom: 0.00
Energy of formation, eV per atom: 0.257
DOS at the Fermi energy, states/eV per cell: 11.691

Unit cell a=4.5856 b=4.5856 c=11.7774 alpha=101.23 beta=101.23 gamma=90.00
Fractional positions:
Ho: 0.2500 0.7500 0.5000
Ho: 0.7500 0.2500 0.5000
Ho: 0.8596 0.8596 0.7191
Pr: 0.4020 0.4020 0.8040
Pr: 0.5980 0.5980 0.1960
Pm: 0.0000 0.0000 0.0000
Ho: 0.1404 0.1404 0.2809


The following is a DFT calculation (PBE) of a relaxed Pm8PrHo6 crystal.

Computed properties:
Space group: R-3 (148)
Magnetic moment, μB per atom: 0.00
Energy of formation, eV per atom: 0.129
DOS at the Fermi energy, states/eV per cell: 22.417

Unit cell a=9.1110 b=9.1110 c=8.7388 alpha=58.58 beta=58.58 gamma=60.00
Fractional positions:
Ho: 0.7517 0.9025 0.8817
Pm: 0.8871 0.2831 0.5800
Ho: 0.9025 0.4641 0.8817
Pm: 0.7502 0.1129 0.4200
Pm: 0.4225 0.4225 0.7325
Pm: 0.5775 0.5775 0.2675
Ho: 0.2483 0.0975 0.1183
Pm: 0.2498 0.8871 0.5800
Pr: 0.0000 0.0000 0.0000
Pm: 0.1129 0.7169 0.4200
Ho: 0.0975 0.5359 0.1183
Ho: 0.4641 0.7517 0.8817
Pm: 0.7169 0.7502 0.4200
Pm: 0.2831 0.2498 0.5800
Ho: 0.5359 0.2483 0.1183


The following is a DFT calculation (PBE) of a relaxed PmPr2Ho6 crystal.

Computed properties:
Space group: C2/m (12)
Polymorph energy (0 for the lowest one), meV per atom: 0
Magnetic moment, μB per atom: 0.00
Energy of formation, eV per atom: 0.106
DOS at the Fermi energy, states/eV per cell: 14.209

Unit cell a=3.5035 b=9.8095 c=9.8095 alpha=63.61 beta=79.78 gamma=79.78
Fractional positions:
Ho: 0.8210 0.3443 0.0109
Pr: 0.8447 0.6566 0.6566
Ho: 0.8210 0.0109 0.3443
Pm: 0.0000 0.0000 0.0000
Pr: 0.1553 0.3434 0.3434
Ho: 0.5000 0.6885 0.3115
Ho: 0.5000 0.3115 0.6885
Ho: 0.1790 0.9891 0.6557
Ho: 0.1790 0.6557 0.9891


Question: magnetic moment of number 9 (Pm5Pr2Ho)?
Answer: 0.00 μB per atom